(1)
Entry from Alexandria via LeMat-Bulk: a relaxed Mg5NiN4 crystal (PBE).

Summary:
density = 2.85 g/cm³
final energy = -5.08 eV/atom

CIF file:
```
data_Mg5NiN4
_symmetry_space_group_name_H-M 'P m m n'
_symmetry_Int_Tables_number 59
_cell_length_a 6.4876
_cell_length_b 7.7567
_cell_length_c 5.4612
_cell_angle_alpha 90.00
_cell_angle_beta 90.00
_cell_angle_gamma 90.00
loop_
_symmetry_equiv_pos_as_xyz
'x,y,z'
'-x,-y,-z'
'-x+1/2,-y+1/2,z'
'x+1/2,y+1/2,-z'
'x+1/2,-y,-z'
'-x+1/2,y,z'
'-x,y+1/2,-z'
'x,-y+1/2,z'
loop_
_atom_site_label
_atom_site_fract_x
_atom_site_fract_y
_atom_site_fract_z
Mg1 0.0141 0.0536 0.2272
Mg2 0.2500 0.2500 0.7598
Ni1 0.2500 0.7500 0.4406
N1 0.0151 0.2500 0.4971
N2 0.2500 0.0278 0.9665
```

***

(2)
Entry from Alexandria via LeMat-Bulk: a relaxed LaHoTh2Se4 crystal (PBE).

Summary:
density = 8.62 g/cm³
final energy = -6.47 eV/atom

CIF file:
```
data_LaHoTh2Se4
_symmetry_space_group_name_H-M 'P 1 2/m 1'
_symmetry_Int_Tables_number 10
_cell_length_a 7.1563
_cell_length_b 4.1714
_cell_length_c 7.4013
_cell_angle_alpha 90.00
_cell_angle_beta 109.07
_cell_angle_gamma 90.00
loop_
_symmetry_equiv_pos_as_xyz
'x,y,z'
'-x,-y,-z'
'-x,y,-z'
'x,-y,z'
loop_
_atom_site_label
_atom_site_fract_x
_atom_site_fract_y
_atom_site_fract_z
La1 0.0000 0.0000 0.0000
Ho1 0.5000 0.5000 0.0000
Th1 0.0000 0.5000 0.5000
Th2 0.5000 0.0000 0.5000
Se1 0.2584 0.5000 0.2459
Se2 0.2626 0.0000 0.7602
```

***

(3)
Entry from Alexandria via LeMat-Bulk: a relaxed Ag2HgI2 crystal (PBE).

Summary:
density = 6.12 g/cm³
energy relative to the lowest polymorph listed for this composition = 1.89 kJ per mole of atoms

CIF file:
```
data_Ag2HgI2
_symmetry_space_group_name_H-M 'I 4/m m m'
_symmetry_Int_Tables_number 139
_symmetry_space_group_name_Hall '-I 4 2'
_cell_length_a 4.4993
_cell_length_b 4.4993
_cell_length_c 17.9708
_cell_angle_alpha 90.00
_cell_angle_beta 90.00
_cell_angle_gamma 90.00
loop_
_atom_site_label
_atom_site_fract_x
_atom_site_fract_y
_atom_site_fract_z
Ag1 0.0000 0.5000 0.2500
Hg1 0.0000 0.0000 0.0000
I1 0.0000 0.0000 0.3534
```

***

(4)
Entry from Alexandria via LeMat-Bulk: a relaxed SmSnH crystal (PBE).

Summary:
density = 7.18 g/cm³
energy relative to the lowest polymorph listed for this composition = 5.14 kJ per mole of atoms

CIF file:
```
data_SmSnH
_symmetry_space_group_name_H-M 'P -6 m 2'
_symmetry_Int_Tables_number 187
_symmetry_space_group_name_Hall 'P -6 2'
_cell_length_a 3.7360
_cell_length_b 3.7360
_cell_length_c 5.1661
_cell_angle_alpha 90.00
_cell_angle_beta 90.00
_cell_angle_gamma 120.00
loop_
_atom_site_label
_atom_site_fract_x
_atom_site_fract_y
_atom_site_fract_z
Sm1 0.0000 0.0000 0.0000
Sn1 0.3333 0.6667 0.5000
H1 0.6667 0.3333 0.0000
```

***

Repeat the second record exactly.
Entry from Alexandria via LeMat-Bulk: a relaxed LaHoTh2Se4 crystal (PBE).

Summary:
density = 8.62 g/cm³
final energy = -6.47 eV/atom

CIF file:
```
data_LaHoTh2Se4
_symmetry_space_group_name_H-M 'P 1 2/m 1'
_symmetry_Int_Tables_number 10
_cell_length_a 7.1563
_cell_length_b 4.1714
_cell_length_c 7.4013
_cell_angle_alpha 90.00
_cell_angle_beta 109.07
_cell_angle_gamma 90.00
loop_
_symmetry_equiv_pos_as_xyz
'x,y,z'
'-x,-y,-z'
'-x,y,-z'
'x,-y,z'
loop_
_atom_site_label
_atom_site_fract_x
_atom_site_fract_y
_atom_site_fract_z
La1 0.0000 0.0000 0.0000
Ho1 0.5000 0.5000 0.0000
Th1 0.0000 0.5000 0.5000
Th2 0.5000 0.0000 0.5000
Se1 0.2584 0.5000 0.2459
Se2 0.2626 0.0000 0.7602
```

***

> Which of these has the lowest density?

Mg5NiN4

***

> Look up the density of the third one.

6.12 g/cm³

***

> The highest density belongs to which entry?

LaHoTh2Se4